Sr2DyFe2O6 (PBE+U, optimized geometry); SG = R-3m, No. 166; total energy = -74.0 eV/cell; V = 183.6 Å³ per cell; magnetization = 9.0 μB per formula unit
1.0
-2.5114 3.1246 -4.5514
1.2742 -1.4607 -5.7470
-4.8635 -3.1054 -3.4894
Fe O Dy Sr
2 6 1 2
Direct
0.5735 0.5735 0.2796
0.4265 0.4265 0.7204
0.2469 0.7738 0.7325
0.7531 0.7531 0.2675
0.7738 0.2469 0.7325
0.2469 0.2469 0.7325
0.7531 0.2262 0.2675
0.2262 0.7531 0.2675
0.0000 0.0000 0.0000
0.1995 0.1995 0.4014
0.8005 0.8005 0.5986